Entry 1:
Entry from Alexandria: crystalline Zn5Cu4 at its relaxed geometry (PBEsol).

Its relative energy among the computed polymorphs is 0 meV/atom. Its calculated total energy is -25.87 eV per formula unit. The formation energy comes out at -0.62 eV/f.u.

The structure belongs to space group I4/mmm (No. 139); the cell edges are 7.7279, 7.7279 and 3.7618 Å and the angles 90.00°, 90.00° and 90.00°. The inequivalent atoms are Zn at (0.0000, 0.0000, 0.0000), Zn at (0.1695, 0.1695, 0.5000) and Cu at (0.0000, 0.3359, 0.0000).

---

Entry 2:
Entry from Alexandria: crystalline HfReHg2C at its relaxed geometry (PBEsol).

Its calculated total energy is -20.50 eV per formula unit. The formation energy comes out at 14.11 eV/f.u.

The structure belongs to space group P4/mmm (No. 123); the cell edges are 5.3920, 5.3920 and 4.7709 Å and the angles 90.00°, 90.00° and 90.00°. The inequivalent atoms are Hf at (0.0000, 0.0000, 0.0000), Re at (0.0000, 0.0000, 0.5000), Hg at (0.0000, 0.5000, 0.0000) and C at (0.5000, 0.5000, 0.5000).

---

Entry 3:
Entry from Alexandria: crystalline ZrGe3Cl at its relaxed geometry (PBEsol).

As for the uncorrected formation energy: 0.573 eV per atom. Its calculated total energy is -23.05 eV per formula unit.

The structure belongs to space group Pm-3m (No. 221); the cell edges are 4.7327, 4.7327 and 4.7327 Å and the angles 90.00°, 90.00° and 90.00°. The inequivalent atoms are Zr at (0.0000, 0.0000, 0.0000), Ge at (0.0000, 0.5000, 0.5000) and Cl at (0.5000, 0.5000, 0.5000).

---

Entry 4:
Entry from Alexandria: crystalline K3Sr at its relaxed geometry (PBEsol).

Its relative energy among the computed polymorphs is 33 meV/atom. Its calculated total energy is -4.87 eV per formula unit. The formation energy comes out at 0.37 eV/f.u.

The structure belongs to space group Pnma (No. 62); the cell edges are 7.6618, 14.8126 and 9.0752 Å and the angles 90.00°, 90.00° and 90.00°. The inequivalent atoms are K at (0.0947, 0.2500, 0.1261), K at (0.2499, 0.0005, 0.8791) and Sr at (0.0941, 0.2500, 0.6376).

---

Summary of D(E_F) in states/eV/cell
4.37 5.23 2.97 14.49
(order as listed above)